Record 1
Compound: BaCa2MgIr
Source: Alexandria
Functional: PBE-GGA
Structure: optimized geometry

The structure in CIF format:
```
data_BaCa2MgIr
_cell_length_a 5.572
_cell_length_b 5.572
_cell_length_c 6.065
_cell_angle_alpha 90.00
_cell_angle_beta 90.00
_cell_angle_gamma 90.00
_symmetry_space_group_name_H-M 'P 4/m m m'
_symmetry_Int_Tables_number 123
_symmetry_space_group_name_Hall '-P 4 2'
loop_
_atom_site_label
_atom_site_type_symbol
_atom_site_fract_x
_atom_site_fract_y
_atom_site_fract_z
_atom_site_occupancy
Ba1 Ba 0.000 0.000 0.000 1
Ca1 Ca 0.000 0.500 0.500 1
Mg1 Mg 0.500 0.500 0.000 1
Ir1 Ir 0.000 0.000 0.500 1
```

Computed properties:
Calculated density   3.83 g/cm3
Spin magnetization   0.00 μB/f.u.
Uncorrected energy   -3.371 eV per atom
Volume   37.65 Å³ per atom

***

Record 2
Compound: BaCaMg2Ir
Source: Alexandria
Functional: PBE-GGA
Structure: optimized geometry

The structure in CIF format:
```
data_BaCaMg2Ir
_cell_length_a 5.278
_cell_length_b 5.278
_cell_length_c 5.428
_cell_angle_alpha 90.00
_cell_angle_beta 90.00
_cell_angle_gamma 90.00
_symmetry_space_group_name_H-M 'P 4/m m m'
_symmetry_Int_Tables_number 123
_symmetry_space_group_name_Hall '-P 4 2'
loop_
_atom_site_label
_atom_site_type_symbol
_atom_site_fract_x
_atom_site_fract_y
_atom_site_fract_z
_atom_site_occupancy
Ba1 Ba 0.000 0.000 0.000 1
Ca1 Ca 0.500 0.500 0.000 1
Mg1 Mg 0.000 0.500 0.500 1
Ir1 Ir 0.500 0.500 0.500 1
```

Computed properties:
Calculated density   4.59 g/cm3
Spin magnetization   0.00 μB/f.u.
Uncorrected energy   -3.378 eV per atom
Volume   30.24 Å³ per atom